Record 1
Entry from Alexandria: a PBEsol-optimized structure of ScZnSb2 (meta-GGA SCAN).

The structure in POSCAR format:
```
ScZnSb2
1.0
3.211 0.000 0.000
0.000 3.211 0.000
0.000 0.000 8.691
Sb Sc Zn
2 1 1
Cartesian
0.000 0.000 8.218 Sb
1.606 1.606 2.499 Sb
0.000 0.000 4.607 Sc
1.606 1.606 6.404 Zn
```

Summary:
Crystal system ... tetragonal
E_form (uncorrected) ... -185 meV/atom


Record 2
Entry from Alexandria: a PBEsol-optimized structure of ZrScSb (meta-GGA SCAN).

The structure in POSCAR format:
```
ZrScSb
1.0
4.712 0.000 0.000
2.356 4.081 0.000
2.356 1.360 3.847
Sb Sc Zr
1 1 1
Cartesian
2.356 1.360 0.962 Sb
0.000 0.000 0.000 Sc
4.712 2.720 1.924 Zr
```

Summary:
Crystal system ... cubic
E_form (uncorrected) ... -407 meV/atom


Record 3
Entry from Alexandria: a PBEsol-optimized structure of ZrSc2Sb2 (meta-GGA SCAN).

The structure in POSCAR format:
```
ZrSc2Sb2
1.0
3.879 0.000 0.000
0.000 7.597 0.000
0.000 0.000 7.597
Sc Sb Zr
4 4 2
Cartesian
1.939 1.199 4.998 Sc
1.939 4.998 6.398 Sc
1.939 6.398 2.599 Sc
1.939 2.599 1.199 Sc
0.000 2.698 6.496 Sb
0.000 6.496 4.899 Sb
0.000 4.899 1.101 Sb
0.000 1.101 2.698 Sb
0.000 0.000 0.000 Zr
0.000 3.799 3.799 Zr
```

Summary:
Crystal system ... tetragonal
E_form (uncorrected) ... -834 meV/atom


Record 4
Entry from Alexandria: a PBEsol-optimized structure of SbSe3 (meta-GGA SCAN).

The structure in POSCAR format:
```
SbSe3
1.0
-1.860 3.550 -0.411
-0.958 -0.480 4.105
4.891 2.731 1.461
Sb Se
1 3
Cartesian
0.000 0.000 0.000 Sb
1.440 1.562 3.729 Se
-1.409 1.535 1.847 Se
0.633 4.239 1.426 Se
```

Summary:
Crystal system ... monoclinic
E_form (uncorrected) ... 165 meV/atom


Record 5
Entry from Alexandria: a PBEsol-optimized structure of Sb2Se3 (meta-GGA SCAN).

The structure in POSCAR format:
```
Sb2Se3
1.0
-3.383 1.771 -1.106
-3.611 -0.207 10.717
4.909 10.538 1.857
Sb Se
8 12
Cartesian
-1.933 2.906 -0.152 Sb
-0.152 9.197 11.621 Sb
-1.069 4.016 6.129 Sb
-1.016 8.087 5.340 Sb
-1.919 0.618 3.288 Sb
-0.166 11.485 8.180 Sb
-3.189 6.183 8.937 Sb
1.103 5.919 2.532 Sb
1.629 11.275 2.352 Se
-3.715 0.827 9.117 Se
-0.414 6.145 7.534 Se
-1.672 5.958 3.935 Se
-0.498 2.669 2.225 Se
-1.587 9.434 9.244 Se
-3.653 4.187 7.161 Se
1.567 7.916 4.308 Se
0.366 7.951 0.894 Se
-2.452 4.151 10.575 Se
1.435 9.502 7.253 Se
-3.521 2.600 4.215 Se
```

Summary:
Crystal system ... orthorhombic
E_form (uncorrected) ... -234 meV/atom


Record 6
Entry from Alexandria: a PBEsol-optimized structure of Sb3Se (meta-GGA SCAN).

The structure in POSCAR format:
```
Sb3Se
1.0
6.190 0.000 0.000
0.000 6.202 0.233
0.000 -1.230 6.084
Sb Se
6 2
Cartesian
4.643 -1.045 5.938 Sb
1.548 6.017 0.379 Sb
4.643 -0.579 3.044 Sb
1.548 5.551 3.273 Sb
4.643 1.877 6.164 Sb
1.548 3.095 0.152 Sb
1.548 1.885 3.631 Se
4.643 3.087 2.685 Se
```

Summary:
Crystal system ... orthorhombic
E_form (uncorrected) ... 3 meV/atom